A:
Compound: ScVP2O
Source: Alexandria
Functional: PBE+U
Structure: optimized geometry

Lattice parameters (Å, degrees): 4.7174 4.7174 3.6255 90.00 90.00 90.00
Sites, in units of the cell vectors:
Sc1 0.5000 0.5000 0.5000
P1 0.0000 0.5000 0.0000
P2 0.5000 0.0000 0.0000
O1 0.0000 0.0000 0.5000
V1 0.0000 0.0000 0.0000

Results
D(E_F) = 1.2 states/eV/cell
Crystal system = tetragonal


B:
Compound: ScVP2O
Source: Alexandria
Functional: PBE+U
Structure: optimized geometry

Lattice parameters (Å, degrees): 5.0561 5.0561 3.8760 90.00 90.00 90.00
Site moments in Bohr magnetons follow the coordinates.
Sites, in units of the cell vectors:
Sc1 0.0000 0.0000 0.0000  0.02
P1 0.0000 0.5000 0.0000  -0.22
P2 0.5000 0.0000 0.0000  -0.22
O1 0.0000 0.0000 0.5000  -0.19
V1 0.5000 0.5000 0.5000  2.81

Results
D(E_F) = 5.5 states/eV/cell
Crystal system = tetragonal


The relative energies come out as A 0; B 565, with values in meV per atom.